No. 1
# BaGaSb2 | Alexandria | GGA-PBE | optimized geometry
# Crystal system   monoclinic
# Symmetry   C2/c
# M_tot   0.0 μB per cell
# Uncorrected formation energy   -50 kJ/mol of atoms
data_BaGaSb2
_chemical_formula_sum 'Ba8 Ga8 Sb16'
_cell_length_a 8.756
_cell_length_b 8.756
_cell_length_c 15.895
_cell_angle_alpha 103.71
_cell_angle_beta 103.71
_cell_angle_gamma 97.18
_symmetry_space_group_name_H-M 'P 1'
_symmetry_Int_Tables_number 1
_symmetry_space_group_name_Hall 'P 1'
loop_
_atom_site_label
_atom_site_type_symbol
_atom_site_fract_x
_atom_site_fract_y
_atom_site_fract_z
Ba1 Ba 0.183 0.761 0.608
Ba2 Ba 0.239 0.817 0.892
Ba3 Ba 0.259 0.334 0.870
Ba4 Ba 0.334 0.259 0.370
Ba5 Ba 0.666 0.741 0.630
Ba6 Ba 0.741 0.666 0.130
Ba7 Ba 0.761 0.183 0.108
Ba8 Ba 0.817 0.239 0.392
Ga1 Ga 0.087 0.795 0.353
Ga2 Ga 0.205 0.913 0.147
Ga3 Ga 0.224 0.425 0.174
Ga4 Ga 0.425 0.224 0.674
Ga5 Ga 0.575 0.776 0.326
Ga6 Ga 0.776 0.575 0.826
Ga7 Ga 0.795 0.087 0.853
Ga8 Ga 0.913 0.205 0.647
Sb1 Sb 0.011 0.989 0.250
Sb2 Sb 0.037 0.478 0.288
Sb3 Sb 0.118 0.154 0.543
Sb4 Sb 0.154 0.118 0.043
Sb5 Sb 0.162 0.595 0.050
Sb6 Sb 0.405 0.838 0.450
Sb7 Sb 0.451 0.549 0.750
Sb8 Sb 0.478 0.037 0.788
Sb9 Sb 0.522 0.963 0.212
Sb10 Sb 0.549 0.451 0.250
Sb11 Sb 0.595 0.162 0.550
Sb12 Sb 0.838 0.405 0.950
Sb13 Sb 0.846 0.882 0.957
Sb14 Sb 0.882 0.846 0.457
Sb15 Sb 0.963 0.522 0.712
Sb16 Sb 0.989 0.011 0.750


No. 2
# Ba5Ga2Sb | Alexandria | GGA-PBE | optimized geometry
# Crystal system   tetragonal
# Symmetry   I4/mcm
# M_tot   1.2 μB per cell
# Uncorrected formation energy   -50 kJ/mol of atoms
data_Ba5Ga2Sb
_chemical_formula_sum 'Ba10 Ga4 Sb2'
_cell_length_a 10.526
_cell_length_b 10.526
_cell_length_c 10.526
_cell_angle_alpha 130.60
_cell_angle_beta 130.60
_cell_angle_gamma 72.45
_symmetry_space_group_name_H-M 'P 1'
_symmetry_Int_Tables_number 1
_symmetry_space_group_name_Hall 'P 1'
loop_
_atom_site_label
_atom_site_type_symbol
_atom_site_fract_x
_atom_site_fract_y
_atom_site_fract_z
Ba1 Ba 0.000 0.000 0.000
Ba2 Ba 0.030 0.530 0.850
Ba3 Ba 0.181 0.030 0.500
Ba4 Ba 0.319 0.819 0.850
Ba5 Ba 0.470 0.319 0.500
Ba6 Ba 0.500 0.500 0.000
Ba7 Ba 0.530 0.681 0.500
Ba8 Ba 0.681 0.181 0.150
Ba9 Ba 0.819 0.970 0.500
Ba10 Ba 0.970 0.470 0.150
Ga1 Ga 0.106 0.394 0.500
Ga2 Ga 0.394 0.894 0.287
Ga3 Ga 0.606 0.106 0.713
Ga4 Ga 0.894 0.606 0.500
Sb1 Sb 0.250 0.250 0.000
Sb2 Sb 0.750 0.750 0.000